(1)
Entry from the Alexandria database: a geometry-optimized LiTlHg2 structure (PBE).

Summary:
- Energy: -1.37 eV/atom
- Energy relative to the elements: -0.149 eV/atom
- Theoretical density: 10.504 g/cm3
- V: 24.208 A^3/atom

Unit cell a=10.080 b=10.080 c=10.080 alpha=19.20 beta=19.20 gamma=19.20
Sites, in units of the cell vectors:
Hg (0.988, 0.988, 0.988)
Hg (0.512, 0.512, 0.512)
Li (0.250, 0.250, 0.250)
Tl (0.750, 0.750, 0.750)

(2)
Entry from the Alexandria database: a geometry-optimized Li3TlHg3 structure (PBE).

Summary:
- Energy: -1.56 eV/atom
- Energy relative to the elements: -0.269 eV/atom
- Theoretical density: 9.332 g/cm3
- V: 21.023 A^3/atom

Unit cell a=6.719 b=6.719 c=6.529 alpha=90.00 beta=90.00 gamma=93.17
Sites, in units of the cell vectors:
Hg (0.744, 0.256, 0.500)
Hg (0.766, 0.234, 0.000)
Hg (0.722, 0.722, 0.500)
Li (0.500, 0.000, 0.251)
Li (0.000, 0.000, 0.254)
Hg (0.278, 0.278, 0.500)
Li (0.500, 0.000, 0.749)
Tl (0.303, 0.303, 0.000)
Li (0.000, 0.500, 0.749)
Li (0.000, 0.500, 0.251)
Hg (0.234, 0.766, 0.000)
Li (0.000, 0.000, 0.746)
Hg (0.256, 0.744, 0.500)
Tl (0.697, 0.697, 0.000)

(3)
Entry from the Alexandria database: a geometry-optimized LiTlHg2 structure (PBE).

Summary:
- Energy: -1.36 eV/atom
- Energy relative to the elements: -0.141 eV/atom
- Theoretical density: 10.687 g/cm3
- V: 23.792 A^3/atom

Unit cell a=3.426 b=3.760 c=7.387 alpha=90.00 beta=90.00 gamma=90.00
Sites, in units of the cell vectors:
Hg (0.000, 0.000, 0.021)
Tl (0.500, 0.500, 0.731)
Hg (0.500, 0.500, 0.285)
Li (0.000, 0.000, 0.463)

(4)
Entry from the Alexandria database: a geometry-optimized Li4TlHg structure (PBE).

Summary:
- Energy: -1.95 eV/atom
- Energy relative to the elements: -0.230 eV/atom
- Theoretical density: 6.297 g/cm3
- V: 19.019 A^3/atom

Unit cell a=3.071 b=4.655 c=7.982 alpha=89.98 beta=89.97 gamma=89.99
Sites, in units of the cell vectors:
Li (0.667, 0.497, 0.354)
Hg (0.167, 0.997, 0.478)
Li (0.668, 0.997, 0.807)
Tl (0.169, 0.497, 0.018)
Li (0.670, 0.997, 0.166)
Li (0.167, 0.497, 0.666)

(5)
Entry from the Alexandria database: a geometry-optimized LiTl2Hg9 structure (PBE).

Summary:
- Energy: -0.83 eV/atom
- Energy relative to the elements: -0.053 eV/atom
- Theoretical density: 11.477 g/cm3
- V: 26.778 A^3/atom

Unit cell a=8.702 b=8.792 c=19.765 alpha=31.17 beta=27.97 gamma=50.33
Sites, in units of the cell vectors:
Hg (0.583, 0.293, 0.185)
Li (0.000, 0.000, 0.000)
Hg (0.365, 0.169, 0.923)
Hg (0.417, 0.707, 0.815)
Hg (0.162, 0.780, 0.421)
Hg (0.500, 0.500, 0.500)
Tl (0.801, 0.909, 0.376)
Hg (0.635, 0.831, 0.077)
Hg (0.838, 0.220, 0.579)
Hg (0.892, 0.553, 0.804)
Tl (0.199, 0.091, 0.624)
Hg (0.108, 0.447, 0.196)

(6)
Entry from the Alexandria database: a geometry-optimized Li4TlHg structure (PBE).

Summary:
- Energy: -1.83 eV/atom
- Energy relative to the elements: -0.112 eV/atom
- Theoretical density: 6.355 g/cm3
- V: 18.845 A^3/atom

Unit cell a=5.428 b=5.428 c=5.428 alpha=60.00 beta=60.00 gamma=60.00
Sites, in units of the cell vectors:
Tl (0.750, 0.750, 0.750)
Li (0.375, 0.375, 0.875)
Li (0.875, 0.375, 0.375)
Hg (0.000, 0.000, 0.000)
Li (0.375, 0.375, 0.375)
Li (0.375, 0.875, 0.375)